# PBE-GGA Ba2CuRhSe, optimized geometry
# Total DFT energy (no corrections), eV per cell: -21.2
# Formation energy without anion corrections, meV per atom: -487
data_Ba2CuRhSe
_chemical_formula_sum 'Ba2 Cu1 Rh1 Se1'
_cell_length_a 5.840
_cell_length_b 5.840
_cell_length_c 4.650
_cell_angle_alpha 90.00
_cell_angle_beta 90.00
_cell_angle_gamma 90.00
_space_group_name_H-M_alt 'P 4/m m m'
_space_group_IT_number 123
_space_group_name_Hall '-P 4 2'
loop_
_atom_site_label
_atom_site_fract_x
_atom_site_fract_y
_atom_site_fract_z
Ba1 0.000 0.500 0.000
Cu1 0.000 0.000 0.500
Rh1 0.000 0.000 0.000
Se1 0.500 0.500 0.500

---

# PBE-GGA Ce2ZrRh, optimized geometry
# E above lowest polymorph, meV/atom: 253
# Total DFT energy (no corrections), eV per cell: -83.0
# Energy relative to the elements, eV/atom: 0.0291
data_Ce2ZrRh
_chemical_formula_sum 'Ce6 Zr3 Rh3'
_cell_length_a 3.1024
_cell_length_b 3.1024
_cell_length_c 31.9550
_cell_angle_alpha 90.00
_cell_angle_beta 90.00
_cell_angle_gamma 120.00
_space_group_name_H-M_alt 'R -3 m'
_space_group_IT_number 166
_space_group_name_Hall '-R 3 2"'
loop_
_atom_site_label
_atom_site_fract_x
_atom_site_fract_y
_atom_site_fract_z
Ce1 0.0000 0.0000 0.0941
Zr1 0.0000 0.0000 0.0000
Rh1 0.0000 0.0000 0.5000